Record 1
## LiPr2PdO6 (PBE)

Data for a relaxed structure of LiPr2PdO6.

## Properties
E_form (uncorrected) = -2.10 eV per atom

Cell lengths 5.4783, 5.8663, 9.4852 Å; angles 90.00, 124.95, 90.00 degrees
Closest atoms and distances in Å follow each position.
Space group P2_1/c (No. 14)
Symmetry-distinct sites (fractional):
Li1 0.0000 0.0000 0.0000  6 O 2.03-2.16
Pr1 0.2314 0.0744 0.7491  7 O 2.40-2.68
Pd1 0.5000 0.0000 0.5000  6 O 2.00-2.02
O1 0.1519 0.1894 0.4521  1 Pd 2.02, 1 Li 2.16
O2 0.2682 0.7083 0.4516  1 Pd 2.02, 1 Li 2.15
O3 0.3448 0.0260 0.2516  1 Pd 2.00, 1 Li 2.03

---

Record 2
## Li3Pd3PtO8 (PBE)

Data for a relaxed structure of Li3Pd3PtO8.

## Properties
E_form (uncorrected) = -0.84 eV per atom

Cell lengths 11.0471, 6.0566, 5.8806 Å; angles 90.00, 119.41, 90.00 degrees
Closest atoms and distances in Å follow each position.
Space group C2/m (No. 12)
Symmetry-distinct sites (fractional):
Li1 0.0000 0.0000 0.0000  6 O 2.02-2.24
Li2 0.2500 0.2500 0.5000  4 O 2.07-2.24
Pd1 0.0000 0.5000 0.5000  4 O 2.03
Pd2 0.2500 0.2500 0.0000  6 O 2.06-2.21
Pt1 0.0000 0.0000 0.5000  6 O 2.05-2.06
O1 0.0322 0.2530 0.7559  2 Pd 2.03-2.11, 1 Pt 2.05, 1 Li 2.24
O2 0.2095 0.0000 0.1901  3 Li 2.02-2.24, 2 Pd 2.06
O3 0.2138 0.0000 0.7003  1 Pt 2.06, 2 Li 2.07, 2 Pd 2.21

---

Record 3
## Li3PdPt2O6 (PBE)

Data for a relaxed structure of Li3PdPt2O6.

## Properties
E_form (uncorrected) = -0.89 eV per atom

Cell lengths 5.8976, 9.1889, 5.3610 Å; angles 90.00, 117.53, 90.00 degrees
Closest atoms and distances in Å follow each position.
Space group C2/m (No. 12)
Symmetry-distinct sites (fractional):
Li1 0.0000 0.0000 0.0000  6 O 2.13-2.17
Li2 0.0000 0.3468 0.0000  4 O 2.12-2.26
Pd1 0.0000 0.5000 0.5000  4 O 2.09
Pt1 0.0000 0.1663 0.5000  6 O 2.07-2.21
O1 0.2099 0.0000 0.7672  2 Pt 2.07, 3 Li 2.12-2.13
O2 0.2417 0.1667 0.2855  1 Pd 2.09, 2 Pt 2.09-2.21, 2 Li 2.17-2.26

---

Record 4
## Li2PdPtO4 (PBE)

Data for a relaxed structure of Li2PdPtO4.

## Properties
E_form (uncorrected) = -1.05 eV per atom

Cell lengths 5.5340, 3.0030, 5.6251 Å; angles 90.00, 111.86, 90.00 degrees
Closest atoms and distances in Å follow each position.
Space group P2/m (No. 10)
Symmetry-distinct sites (fractional):
Li1 0.0000 0.0000 0.0000  6 O 2.10-2.22
Li2 0.5000 0.5000 0.5000  4 O 2.17
Pd1 0.0000 0.0000 0.5000  4 O 2.06
Pt1 0.5000 0.5000 0.0000  6 O 2.05-2.06
O1 0.1128 0.5000 0.7687  1 Pt 2.05, 2 Pd 2.06, 2 Li 2.22
O2 0.4041 0.0000 0.1999  2 Pt 2.06, 3 Li 2.10-2.17

---

Record 5
## LiPdPtO4 (PBE)

Data for a relaxed structure of LiPdPtO4.

## Properties
E_form (uncorrected) = -0.80 eV per atom

Cell lengths 6.0235, 6.1980, 9.1845 Å; angles 90.00, 90.00, 90.00 degrees
Closest atoms and distances in Å follow each position.
Space group Imma (No. 74)
Symmetry-distinct sites (fractional):
Li1 0.0000 0.2500 0.1406  4 O 2.08-2.13
Pd1 0.2500 0.2500 0.7500  4 O 2.07
Pt1 0.0000 0.0000 0.5000  6 O 2.04-2.05
O1 0.0000 0.0254 0.7216  1 Pt 2.04, 2 Pd 2.07, 1 Li 2.13
O2 0.2227 0.2500 0.4950  2 Pt 2.05, 1 Li 2.08

---

Record 6
## Li2PuPdO8 (PBE)

Data for a relaxed structure of Li2PuPdO8.

## Properties
E_form (uncorrected) = -1.05 eV per atom

Cell lengths 6.4268, 6.4268, 7.4371 Å; angles 90.00, 90.00, 90.00 degrees
Closest atoms and distances in Å follow each position.
Space group I-4m2 (No. 119)
Symmetry-distinct sites (fractional):
Li1 0.0000 0.0000 0.0000  4 O 2.06
Li2 0.0000 0.5000 0.2500  4 O 2.00
Pu1 0.0000 0.0000 0.5000  4 O 1.89
Pd1 0.0000 0.5000 0.7500  4 O 1.94
O1 0.0000 0.2002 0.7845  1 Pd 1.94, 1 Li 2.06
O2 0.0000 0.2867 0.4464  1 Pu 1.89, 1 Li 2.00

---

Record 7
## Li2PuPdO4 (PBE)

Data for a relaxed structure of Li2PuPdO4.

## Properties
E_form (uncorrected) = -1.90 eV per atom

Cell lengths 4.2156, 8.0404, 5.8489 Å; angles 90.00, 90.00, 90.00 degrees
Closest atoms and distances in Å follow each position.
Space group Pmmn (No. 59, origin choice 2)
Symmetry-distinct sites (fractional):
Li1 0.2500 0.0070 0.1514  5 O 2.09-2.16
Pu1 0.2500 0.2500 0.6625  5 O 2.11-2.25
Pd1 0.2500 0.7500 0.7704  4 O 2.06-2.13
O1 0.2500 0.0052 0.7938  1 Pd 2.06, 3 Li 2.09-2.13, 1 Pu 2.11
O2 0.2500 0.2500 0.2779  2 Li 2.09, 2 Pd 2.13, 1 Pu 2.25
O3 0.2500 0.7500 0.2607  2 Pu 2.16, 2 Li 2.16

---

Record 8
## LiPu2PdO8 (PBE)

Data for a relaxed structure of LiPu2PdO8.

## Properties
E_form (uncorrected) = -1.66 eV per atom

Cell lengths 5.6860, 5.6860, 5.9224 Å; angles 90.00, 90.00, 120.00 degrees
Closest atoms and distances in Å follow each position.
Space group P-3 (No. 147)
Symmetry-distinct sites (fractional):
Li1 0.0000 0.0000 0.0000  6 O 2.71, 2 Pd 2.96
Pu1 0.3333 0.6667 0.3899  1 O 1.84
Pd1 0.0000 0.0000 0.5000  6 O 2.05
O1 0.0709 0.3482 0.6600  1 Pd 2.05, 1 Pu 2.28
O2 0.3333 0.6667 0.0798  1 Pu 1.84

---

Record 9
## LiPuPdO4 (PBE)

Data for a relaxed structure of LiPuPdO4.

## Properties
E_form (uncorrected) = -1.88 eV per atom

Cell lengths 5.9461, 6.6261, 9.8257 Å; angles 90.00, 90.00, 90.00 degrees
Closest atoms and distances in Å follow each position.
Space group Imma (No. 74)
Symmetry-distinct sites (fractional):
Li1 0.0000 0.2500 0.1556  4 O 2.02-2.24
Pu1 0.0000 0.0000 0.5000  6 O 2.15-2.22
Pd1 0.2500 0.2500 0.7500  4 O 2.06
O1 0.0000 0.0384 0.7245  2 Pd 2.06, 1 Pu 2.22, 1 Li 2.24
O2 0.2216 0.2500 0.4627  1 Li 2.02, 2 Pu 2.15

---

Record 10
## RbLiPdO2 (PBE)

Data for a relaxed structure of RbLiPdO2.

## Properties
E_form (uncorrected) = -1.07 eV per atom

Cell lengths 6.1890, 3.6731, 6.6002 Å; angles 90.00, 90.06, 90.00 degrees
Closest atoms and distances in Å follow each position.
Space group P2/c (No. 13)
Symmetry-distinct sites (fractional):
Rb1 0.0000 0.0007 0.2500  8 O 3.06-3.07, 2 Rb 3.30
Li1 0.5000 0.0000 0.0000  4 O 2.24, 4 Pd 2.47
Pd1 0.5000 0.5000 0.2500  4 O 2.09
O1 0.2936 0.5000 0.9998  2 Pd 2.09, 2 Li 2.24

---

Record 11
## Rb2Li2PdO4 (PBE)

Data for a relaxed structure of Rb2Li2PdO4.

## Properties
E_form (uncorrected) = -1.20 eV per atom

Cell lengths 12.2584, 3.3548, 6.2559 Å; angles 90.00, 108.16, 90.00 degrees
Closest atoms and distances in Å follow each position.
Space group C2/m (No. 12)
Symmetry-distinct sites (fractional):
Rb1 0.1384 0.0000 0.0568  7 O 2.84-2.98, 3 Li 2.98-3.16
Li1 0.1756 0.5000 0.5023  3 O 1.87-1.96
Pd1 0.0000 0.0000 0.5000  6 O 2.12
O1 0.0162 0.5000 0.3042  1 Li 1.96, 2 Pd 2.12
O2 0.1817 0.0000 0.6363  2 Li 1.87

---

Record 12
## Rb2LiPdO4 (PBE)

Data for a relaxed structure of Rb2LiPdO4.

## Properties
E_form (uncorrected) = -0.86 eV per atom

Cell lengths 5.2999, 12.1900, 19.6685 Å; angles 90.00, 90.00, 90.00 degrees
Closest atoms and distances in Å follow each position.
Space group Fddd (No. 70, origin choice 2)
Symmetry-distinct sites (fractional):
Rb1 0.1250 0.1250 0.2999  8 O 3.02-3.36
Li1 0.1250 0.1250 0.1250  4 O 1.91
Pd1 0.1250 0.1250 0.6250  4 O 1.92
O1 0.1237 0.2846 0.4170  1 Li 1.91, 1 Pd 1.92